Here is an optimized crystal structure of CoAg2Se from Alexandria via LeMat-Bulk. Energies are from PBE-GGA.

Structure (extended XYZ):
```
4
Lattice="8.847 -0.017 -0.010 8.313 3.028 -0.010 8.313 1.458 2.653" Properties=species:S:1:pos:R:3 pbc="T T T"
Ag 6.088 1.068 0.629
Se 19.701 3.456 2.037
Ag 25.359 4.449 2.621
Co 12.535 2.199 1.296
```

Values from the calculation:
- DFT total energy: -3.9660 eV/atom
- DOS(E_F): 1.93 states/eV/f.u.
- SG: R3m (160)
- Total moment: 0.000 μB/f.u.

***

Here is an optimized crystal structure of CoAg2Se from Alexandria via LeMat-Bulk. Energies are from PBE-GGA.

Structure (extended XYZ):
```
4
Lattice="4.585 0.000 0.000 2.293 3.971 0.000 2.293 1.324 3.744" Properties=species:S:1:pos:R:3 pbc="T T T"
Se 6.878 3.971 2.808
Co 4.585 2.647 1.872
Ag 2.293 1.324 0.936
Ag 0.000 0.000 0.000
```

Values from the calculation:
- DFT total energy: -3.6622 eV/atom
- DOS(E_F): 4.72 states/eV/f.u.
- SG: F-43m (216)
- Total moment: 1.831 μB/f.u.

***

Here is an optimized crystal structure of CoAg2Se from Alexandria via LeMat-Bulk. Energies are from PBE-GGA.

Structure (extended XYZ):
```
4
Lattice="-1.049 4.719 -1.890 -0.013 3.042 -4.205 -4.279 -0.535 -1.528" Properties=species:S:1:pos:R:3 pbc="T T T"
Co -1.335 1.807 -1.906
Se -4.005 5.420 -5.717
Ag -2.638 3.725 -3.878
Ag -1.094 7.649 -6.029
```

Values from the calculation:
- DFT total energy: -3.6935 eV/atom
- DOS(E_F): 4.71 states/eV/f.u.
- SG: C2/m (12)
- Total moment: 1.332 μB/f.u.

***

Here is an optimized crystal structure of CoAgSe3 from Alexandria via LeMat-Bulk. Energies are from PBE-GGA.

Structure (extended XYZ):
```
5
Lattice="-3.228 1.182 -3.258 -1.535 -4.479 -0.104 -3.108 0.985 3.436" Properties=species:S:1:pos:R:3 pbc="T T T"
Se -1.554 0.493 1.718
Ag -3.935 -1.156 0.037
Se -0.768 -2.240 -0.052
Co 0.000 0.000 0.000
Se -1.614 0.591 -1.629
```

Values from the calculation:
- Offset from the most stable computed form: 44.3 kJ/mol of atoms
- DOS(E_F): 4.66 states/eV/f.u.
- SG: Pm-3m (221)
- Total moment: 1.708 μB/f.u.

***

Here is an optimized crystal structure of CoAgSe2 from Alexandria via LeMat-Bulk. Energies are from PBE-GGA.

Structure (extended XYZ):
```
16
Lattice="-1.886 -0.678 -6.444 7.574 -1.499 -2.059 -1.031 -6.579 0.994" Properties=species:S:1:pos:R:3 pbc="T T T"
Co 5.484 -7.930 -1.244
Se -0.642 -4.587 -3.650
Se 5.608 -2.198 -4.157
Ag 5.377 -4.822 -3.974
Co 2.622 -7.889 -3.945
Co -1.340 -4.099 -5.771
Se 2.849 -5.629 -4.169
Ag -1.216 -7.095 -3.058
Se 5.996 -5.726 -1.546
Ag 1.683 -7.143 -0.368
Se -1.155 -1.854 -6.141
Se 1.828 -4.550 -0.843
Se 3.138 -2.235 -6.964
Ag 2.478 -4.774 -6.664
Se 1.992 -1.951 -3.518
Co 1.522 -4.139 -3.070
```

Values from the calculation:
- DFT total energy: -4.2827 eV/atom
- DOS(E_F): 3.22 states/eV/f.u.
- SG: Pna2_1 (33)
- Total moment: 1.461 μB/f.u.

***

Here is an optimized crystal structure of CoAg3Se from Alexandria via LeMat-Bulk. Energies are from PBE-GGA.

Structure (extended XYZ):
```
5
Lattice="4.806 0.000 0.000 0.000 4.806 0.000 0.000 0.000 4.806" Properties=species:S:1:pos:R:3 pbc="T T T"
Ag 2.403 0.000 0.000
Co 0.000 0.000 0.000
Ag 0.000 2.403 0.000
Ag 0.000 0.000 2.403
Se 2.403 2.403 2.403
```

Values from the calculation:
- Offset from the most stable computed form: 0.0 kJ/mol of atoms
- DOS(E_F): 4.42 states/eV/f.u.
- SG: Pm-3m (221)
- Total moment: 2.000 μB/f.u.

***

Here is an optimized crystal structure of CoAgSe2 from Alexandria via LeMat-Bulk. Energies are from PBE-GGA.

Structure (extended XYZ):
```
4
Lattice="-3.891 -2.563 -0.235 -0.115 -4.248 1.926 -2.534 -0.750 3.844" Properties=species:S:1:pos:R:3 pbc="T T T"
Se -1.635 -1.890 1.384
Se 0.000 0.000 0.000
Ag -3.270 -3.781 2.768
Co -4.905 -5.671 4.152
```

Values from the calculation:
- DFT total energy: -3.5561 eV/atom
- DOS(E_F): 6.95 states/eV/f.u.
- SG: F-43m (216)
- Total moment: 1.818 μB/f.u.

***

Here is an optimized crystal structure of CoAgSe2 from Alexandria via LeMat-Bulk. Energies are from PBE-GGA.

Structure (extended XYZ):
```
4
Lattice="3.071 0.013 0.000 -0.005 3.071 0.000 0.000 0.000 7.201" Properties=species:S:1:pos:R:3 pbc="T T T"
Se 0.000 0.000 3.954
Co 1.533 1.542 5.401
Se 0.000 0.000 6.848
Ag 1.533 1.542 1.800
```

Values from the calculation:
- DFT total energy: -4.0172 eV/atom
- DOS(E_F): 2.55 states/eV/f.u.
- SG: Cmmm (65)
- Total moment: 0.246 μB/f.u.

***

Here is an optimized crystal structure of CoAgSe2 from Alexandria via LeMat-Bulk. Energies are from PBE-GGA.

Structure (extended XYZ):
```
16
Lattice="16.681 0.000 -1.791 0.000 4.368 0.000 -6.373 0.000 5.189" Properties=species:S:1:pos:R:3 pbc="T T T"
Se 5.224 2.949 0.391
Se 10.378 3.603 2.090
Ag 3.280 0.626 0.165
Se 2.735 3.426 4.000
Co -0.819 2.858 0.686
Co 4.335 3.694 2.385
Ag 8.434 1.558 1.864
Co 5.973 0.674 1.013
Se -2.419 3.126 2.301
Se 12.727 1.242 1.097
Se -0.070 0.765 1.309
Co 11.127 1.510 2.713
Ag 7.028 3.742 3.234
Se 7.573 0.942 -0.602
Se 5.084 1.419 3.008
Ag 1.874 2.811 1.534
```

Values from the calculation:
- DFT total energy: -4.2109 eV/atom
- DOS(E_F): 2.54 states/eV/f.u.
- SG: P2_1/c (14)
- Total moment: 0.000 μB/f.u.

***

Here is an optimized crystal structure of CoAgSe2 from Alexandria via LeMat-Bulk. Energies are from PBE-GGA.

Structure (extended XYZ):
```
4
Lattice="3.984 0.000 0.000 0.000 6.781 0.000 0.000 0.000 3.204" Properties=species:S:1:pos:R:3 pbc="T T T"
Se 1.992 3.390 0.000
Ag 1.992 0.000 1.602
Co 0.000 3.390 1.602
Se 0.000 0.000 0.000
```

Values from the calculation:
- DFT total energy: -3.8508 eV/atom
- DOS(E_F): 2.93 states/eV/f.u.
- SG: Pmmm (47)
- Total moment: 2.451 μB/f.u.

***

Here is an optimized crystal structure of CoAg2Se from Alexandria via LeMat-Bulk. Energies are from PBE-GGA.

Structure (extended XYZ):
```
4
Lattice="-3.377 -4.555 -2.440 0.713 -6.097 0.646 -0.934 5.660 2.280" Properties=species:S:1:pos:R:3 pbc="T T T"
Co -1.264 -5.054 -0.851
Ag -0.057 -0.229 -0.039
Ag -2.646 -1.407 -0.410
Se -0.963 -3.628 0.889
```

Values from the calculation:
- DFT total energy: -3.8677 eV/atom
- DOS(E_F): 2.18 states/eV/f.u.
- SG: Imm2 (44)
- Total moment: 1.151 μB/f.u.

***

Here is an optimized crystal structure of CoAgSn2Se from Alexandria via LeMat-Bulk. Energies are from PBE-GGA.

Structure (extended XYZ):
```
5
Lattice="-2.911 -4.308 -1.251 1.976 -2.475 3.927 -3.967 1.776 3.115" Properties=species:S:1:pos:R:3 pbc="T T T"
Se 0.988 -1.238 1.963
Ag 0.000 0.000 0.000
Sn -1.984 0.888 1.558
Sn -1.455 -2.154 -0.626
Co -2.451 -2.504 2.896
```

Values from the calculation:
- DFT total energy: -3.3315 eV/atom
- DOS(E_F): 2.87 states/eV/f.u.
- SG: P4/mmm (123)
- Total moment: 2.198 μB/f.u.

***

Here is an optimized crystal structure of TaCo2AgSe from Alexandria via LeMat-Bulk. Energies are from PBE-GGA.

Structure (extended XYZ):
```
5
Lattice="4.619 0.000 0.000 0.000 4.980 0.000 0.000 0.000 4.619" Properties=species:S:1:pos:R:3 pbc="T T T"
Ta 0.000 2.490 0.000
Se 2.309 2.490 2.309
Ag 0.000 0.000 0.000
Co 0.000 0.000 2.309
Co 2.309 0.000 0.000
```

Values from the calculation:
- DFT total energy: -4.7751 eV/atom
- DOS(E_F): 9.89 states/eV/f.u.
- SG: P4/mmm (123)
- Total moment: 4.147 μB/f.u.

***

Here is an optimized crystal structure of TiCoAg2Se from Alexandria via LeMat-Bulk. Energies are from PBE-GGA.

Structure (extended XYZ):
```
5
Lattice="-4.068 1.647 -2.003 -1.231 -3.998 -0.787 -2.186 -0.173 4.297" Properties=species:S:1:pos:R:3 pbc="T T T"
Co 0.000 0.000 0.000
Ag -2.034 0.823 -1.002
Ag -1.093 -0.086 2.148
Ti -3.742 -1.262 0.753
Se -0.615 -1.999 -0.393
```

Values from the calculation:
- DFT total energy: -4.1993 eV/atom
- DOS(E_F): 6.94 states/eV/f.u.
- SG: P4/mmm (123)
- Total moment: 0.493 μB/f.u.

***

Here is an optimized crystal structure of Ti2CoAg2Se6 from Alexandria via LeMat-Bulk. Energies are from PBE-GGA.

Structure (extended XYZ):
```
11
Lattice="6.206 -0.161 0.671 -3.208 5.315 0.671 -0.389 -0.669 7.684" Properties=species:S:1:pos:R:3 pbc="T T T"
Ti 2.654 1.458 4.513
Se 4.183 -0.110 2.981
Ti -0.045 3.027 4.513
Se 0.915 1.574 2.696
Co -0.195 -0.335 3.842
Se -2.164 3.582 2.981
Ag 4.888 0.606 0.671
Ag -1.890 4.549 0.671
Se 1.694 2.911 6.330
Se 4.773 0.903 6.045
Se -1.574 4.595 6.045
```

Values from the calculation:
- DFT total energy: -5.0926 eV/atom
- DOS(E_F): 1.86 states/eV/f.u.
- SG: C2/m (12)
- Total moment: 1.075 μB/f.u.

***

Here is an optimized crystal structure of U3CoAg3Se8 from Alexandria via LeMat-Bulk. Energies are from PBE-GGA.

Structure (extended XYZ):
```
15
Lattice="-5.436 -5.844 0.702 7.790 -1.810 -0.463 -2.909 3.511 6.707" Properties=species:S:1:pos:R:3 pbc="T T T"
Se 4.401 -0.596 4.584
Ag 3.895 -0.905 -0.231
Se -0.778 -4.515 2.113
Se -2.039 -0.411 1.985
Se 0.223 0.373 4.833
Se 1.485 -3.731 4.961
Se 1.809 -1.487 1.622
U 2.441 0.851 3.122
U -4.172 -1.166 3.704
U -0.277 -2.071 3.473
Se -2.363 -2.655 5.324
Ag 0.000 0.000 0.000
Se -4.955 -3.546 2.362
Co -1.454 1.756 3.353
Ag 1.177 -3.827 0.120
```

Values from the calculation:
- DFT total energy: -5.7517 eV/atom
- DOS(E_F): 18.75 states/eV/f.u.
- SG: R-3m (166)
- Total moment: 8.126 μB/f.u.

***

Here is an optimized crystal structure of V2CoAg2Se6 from Alexandria via LeMat-Bulk. Energies are from PBE-GGA.

Structure (extended XYZ):
```
11
Lattice="6.093 -0.101 0.777 -3.100 5.247 0.777 -0.198 -0.340 7.770" Properties=species:S:1:pos:R:3 pbc="T T T"
Se -1.958 3.677 3.158
Se 1.040 1.788 2.856
Se 1.756 3.019 6.467
Ag -1.751 4.462 0.777
Co -0.099 -0.170 3.885
Se 4.165 0.115 3.158
V 2.668 1.664 4.661
Se 4.754 1.129 6.164
V 0.128 3.142 4.661
Ag 4.745 0.683 0.777
Se -1.369 4.691 6.164
```

Values from the calculation:
- DFT total energy: -5.1159 eV/atom
- DOS(E_F): 4.35 states/eV/f.u.
- SG: C2/m (12)
- Total moment: 3.053 μB/f.u.

***

Here is an optimized crystal structure of VCoAgSe2 from Alexandria via LeMat-Bulk. Energies are from PBE-GGA.

Structure (extended XYZ):
```
5
Lattice="4.684 0.000 0.000 0.000 4.474 0.000 0.000 0.000 4.684" Properties=species:S:1:pos:R:3 pbc="T T T"
V 0.000 2.237 0.000
Se 2.342 0.000 0.000
Ag 2.342 2.237 2.342
Co 0.000 0.000 0.000
Se 0.000 0.000 2.342
```

Values from the calculation:
- DFT total energy: -4.6977 eV/atom
- DOS(E_F): 6.05 states/eV/f.u.
- SG: P4/mmm (123)
- Total moment: 2.306 μB/f.u.

***

Here is an optimized crystal structure of Zr3CoAg3Se8 from Alexandria via LeMat-Bulk. Energies are from PBE-GGA.

Structure (extended XYZ):
```
15
Lattice="7.491 0.000 0.000 -3.745 6.493 -0.030 0.000 -4.308 7.120" Properties=species:S:1:pos:R:3 pbc="T T T"
Zr 1.873 1.093 3.545
Se 0.000 -0.147 5.098
Se 3.745 0.016 5.172
Se -2.013 3.344 5.083
Se 3.745 2.333 1.991
Se 1.732 -1.158 2.007
Zr -1.873 1.093 3.545
Se 5.759 -1.158 2.006
Se 2.013 3.344 5.083
Ag 0.000 0.000 0.000
Co 0.000 -2.154 3.560
Se 0.000 2.170 1.918
Ag -1.873 3.247 -0.015
Zr 3.745 -2.154 3.560
Ag 1.873 3.247 -0.015
```

Values from the calculation:
- DFT total energy: -5.2915 eV/atom
- DOS(E_F): 7.43 states/eV/f.u.
- SG: C2/m (12)
- Total moment: 1.240 μB/f.u.

***

Here is an optimized crystal structure of CoSi3Ag from Alexandria via LeMat-Bulk. Energies are from PBE-GGA.

Structure (extended XYZ):
```
5
Lattice="4.393 0.000 0.000 0.000 4.393 0.000 0.000 0.000 4.393" Properties=species:S:1:pos:R:3 pbc="T T T"
Co 0.000 0.000 0.000
Si 0.000 2.196 0.000
Si 2.196 0.000 0.000
Si 0.000 0.000 2.196
Ag 2.196 2.196 2.196
```

Values from the calculation:
- Offset from the most stable computed form: 0.0 kJ/mol of atoms
- DOS(E_F): 5.81 states/eV/f.u.
- SG: Pm-3m (221)
- Total moment: 0.000 μB/f.u.